No. 1
A plane-wave DFT calculation with PBE was carried out for a relaxed HgSeBr crystal.

Computed properties:
- Space group: P1, No. 1
- Formation energy (no corrections): -247 meV/atom
- Distance to the lowest polymorph of the same formula: 0.0357 eV per atom

Lattice parameters (Å, degrees): 5.519 6.119 7.329 65.47 88.80 78.40
Sites, in units of the cell vectors:
Br  0.440  0.870  0.584
Br  0.467  0.574  0.158
Se  0.114  0.295  0.891
Se  0.755  0.139  0.880
Hg  0.539  0.044  0.220
Hg  0.911  0.684  0.931


No. 2
A plane-wave DFT calculation with PBE was carried out for a relaxed PmPr2Tm3Bi6 crystal.

Computed properties:
- DOS(E_F): 2.0 states/eV/cell
- Space group: C2/m, No. 12
- ΔE_f: -863 meV/atom

Lattice parameters (Å, degrees): 4.532 9.048 10.116 102.71 102.94 90.00
Sites, in units of the cell vectors:
Bi  0.331  0.925  0.663
Bi  0.003  0.745  0.007
Bi  0.669  0.075  0.337
Bi  0.997  0.255  0.993
Bi  0.664  0.591  0.327
Bi  0.336  0.409  0.673
Tm  0.500  0.500  0.000
Tm  0.167  0.833  0.334
Tm  0.833  0.167  0.666
Pm  0.500  0.000  0.000
Pr  0.166  0.333  0.333
Pr  0.834  0.667  0.667


No. 3
A plane-wave DFT calculation with PBE was carried out for a relaxed HfPaSe4 crystal.

Computed properties:
- DOS(E_F): 6.2 states/eV/cell
- Space group: C2/m, No. 12
- Formation energy (no corrections): -1321 meV/atom
- Distance to the lowest polymorph of the same formula: 0.0000 eV per atom

Lattice parameters (Å, degrees): 3.946 7.779 6.871 114.21 90.00 104.69
Each line ends with the local moment (μB).
Sites, in units of the cell vectors:
Se  0.383  0.766  0.706  -0.02
Se  0.113  0.226  0.759  -0.01
Se  0.617  0.234  0.294  -0.02
Se  0.887  0.774  0.241  -0.01
Hf  0.500  0.000  0.500  0.13
Pa  0.000  0.000  0.000  0.77


No. 4
A plane-wave DFT calculation with PBE was carried out for a relaxed MgZrTl2 crystal.

Computed properties:
- DOS(E_F): 3.0 states/eV/cell
- Space group: Pmm2, No. 25
- ΔE_f: 57 meV/atom

Lattice parameters (Å, degrees): 3.429 4.524 6.269 90.00 90.00 90.00
Sites, in units of the cell vectors:
Zr  0.000  0.000  0.490
Mg  0.500  0.500  0.752
Tl  0.500  0.500  0.279
Tl  0.000  0.000  0.979


No. 5
A plane-wave DFT calculation with PBE was carried out for a relaxed CaVCuN2 crystal.

Computed properties:
- DOS(E_F): 2.1 states/eV/cell
- Space group: P4/mmm, No. 123
- Formation energy (no corrections): -10 meV/atom

Lattice parameters (Å, degrees): 3.907 4.510 3.907 90.00 90.00 90.00
Sites, in units of the cell vectors:
N  0.500  0.000  0.000
N  0.000  0.000  0.500
Ca  0.500  0.500  0.500
V  0.000  0.000  0.000
Cu  0.000  0.500  0.000


No. 6
A plane-wave DFT calculation with PBE was carried out for a relaxed Pm8Ho3Er2 crystal.

Computed properties:
- DOS(E_F): 18.5 states/eV/cell
- Space group: P2/m, No. 10
- Distance to the lowest polymorph of the same formula: 0.1371 eV per atom
- ΔE_f: 208 meV/atom

Lattice parameters (Å, degrees): 5.705 7.707 10.829 110.89 90.00 90.00
Sites, in units of the cell vectors:
Pm  0.500  0.599  0.787
Pm  0.500  0.812  0.213
Pm  0.500  0.188  0.787
Pm  0.000  0.327  0.655
Pm  0.000  0.673  0.345
Pm  0.500  0.401  0.213
Pm  0.000  0.132  0.263
Pm  0.000  0.868  0.737
Ho  0.000  0.714  0.000
Ho  0.000  0.286  0.000
Ho  0.500  0.000  0.000
Er  0.500  0.240  0.480
Er  0.500  0.760  0.520


No. 7
A plane-wave DFT calculation with PBE was carried out for a relaxed TmSc3Sb3 crystal.

Computed properties:
- DOS(E_F): 11.3 states/eV/cell
- Space group: R-3, No. 148
- Formation energy (no corrections): -787 meV/atom

Lattice parameters (Å, degrees): 8.572 8.572 7.694 56.15 56.15 60.00
Sites, in units of the cell vectors:
Sc  0.658  0.182  0.240
Sc  0.920  0.658  0.240
Sc  0.080  0.342  0.760
Sc  0.818  0.080  0.760
Sc  0.182  0.920  0.240
Sc  0.342  0.818  0.760
Tm  0.335  0.335  0.996
Tm  0.665  0.665  0.004
Sb  0.705  0.471  0.741
Sb  0.083  0.705  0.741
Sb  0.471  0.083  0.741
Sb  0.917  0.295  0.259
Sb  0.529  0.917  0.259
Sb  0.295  0.529  0.259


No. 8
A plane-wave DFT calculation with PBE was carried out for a relaxed LiTm2Si crystal.

Computed properties:
- DOS(E_F): 3.1 states/eV/cell
- Space group: P4/mmm, No. 123
- Formation energy (no corrections): -335 meV/atom

Lattice parameters (Å, degrees): 3.878 4.696 4.696 90.00 90.00 90.00
Sites, in units of the cell vectors:
Tm  0.000  0.500  0.000
Tm  0.000  0.000  0.500
Li  0.500  0.500  0.500
Si  0.500  0.000  0.000


No. 9
A plane-wave DFT calculation with PBE was carried out for a relaxed NdPaSe2 crystal.

Computed properties:
- DOS(E_F): 4.9 states/eV/cell
- Space group: Fm-3m, No. 225
- Formation energy (no corrections): -1238 meV/atom
- Distance to the lowest polymorph of the same formula: 0.2241 eV per atom

Lattice parameters (Å, degrees): 5.073 5.073 5.072 59.99 59.99 60.00
Each line ends with the local moment (μB).
Sites, in units of the cell vectors:
Nd  0.500  0.500  0.500  0.03
Pa  0.000  0.000  0.000  0.66
Se  0.750  0.750  0.750  -0.01
Se  0.250  0.250  0.250  -0.01


No. 10
A plane-wave DFT calculation with PBE was carried out for a relaxed Na3DyTi2Nb2O12 crystal.

Computed properties:
- DOS(E_F): 0.0 states/eV/cell
- Space group: Pmc2_1, No. 26
- Formation energy (no corrections): -2729 meV/atom
- Distance to the lowest polymorph of the same formula: 0.0000 eV per atom

Lattice parameters (Å, degrees): 5.468 5.602 15.567 90.00 90.00 90.00
Sites, in units of the cell vectors:
O  0.311  0.021  0.755
O  0.551  0.777  0.908
O  0.689  0.521  0.245
O  0.049  0.709  0.357
O  0.446  0.307  0.387
O  0.194  0.996  0.500
O  0.152  0.961  0.000
O  0.951  0.209  0.643
O  0.449  0.277  0.908
O  0.049  0.709  0.643
O  0.942  0.188  0.866
O  0.951  0.209  0.357
O  0.446  0.307  0.613
O  0.058  0.688  0.134
O  0.848  0.461  0.000
O  0.311  0.021  0.245
O  0.058  0.688  0.866
O  0.554  0.807  0.613
O  0.806  0.496  0.500
O  0.942  0.188  0.134
O  0.689  0.521  0.755
O  0.551  0.777  0.092
O  0.554  0.807  0.387
O  0.449  0.277  0.092
Na  0.253  0.475  0.753
Na  0.747  0.975  0.247
Na  0.240  0.506  0.500
Na  0.747  0.975  0.753
Na  0.760  0.006  0.500
Na  0.253  0.475  0.247
Ti  0.768  0.526  0.874
Ti  0.232  0.026  0.126
Ti  0.768  0.526  0.126
Ti  0.232  0.026  0.874
Dy  0.734  0.063  0.000
Dy  0.266  0.563  0.000
Nb  0.256  0.983  0.372
Nb  0.744  0.483  0.628
Nb  0.256  0.983  0.628
Nb  0.744  0.483  0.372


No. 11
A plane-wave DFT calculation with PBE was carried out for a relaxed MgTa2MnZn crystal.

Computed properties:
- DOS(E_F): 6.6 states/eV/cell
- Space group: P4/mmm, No. 123
- Distance to the lowest polymorph of the same formula: 0.3949 eV per atom
- ΔE_f: 1923 meV/atom

Lattice parameters (Å, degrees): 4.744 4.229 4.744 90.00 90.00 90.00
Sites, in units of the cell vectors:
Zn  0.500  0.500  0.500
Mn  0.000  0.500  0.000
Ta  0.000  0.000  0.500
Ta  0.500  0.000  0.000
Mg  0.000  0.000  0.000


No. 12
A plane-wave DFT calculation with PBE was carried out for a relaxed CsTl2PbI4 crystal.

Computed properties:
- DOS(E_F): 1.9 states/eV/cell
- Space group: I-4m2, No. 119
- Formation energy (no corrections): -692 meV/atom

Lattice parameters (Å, degrees): 7.258 7.258 8.838 114.26 114.26 89.98
Each line ends with the local moment (μB).
Sites, in units of the cell vectors:
Tl  0.000  0.000  0.000  0.00
Tl  0.250  0.750  0.500  0.00
I  0.240  0.240  0.480  0.01
I  0.760  0.760  0.520  0.01
I  0.517  0.017  0.033  0.00
I  0.983  0.483  0.967  0.00
Pb  0.750  0.250  0.500  0.22
Cs  0.500  0.500  0.000  0.00


No. 13
A plane-wave DFT calculation with PBE was carried out for a relaxed TaSnPS2 crystal.

Computed properties:
- DOS(E_F): 1.6 states/eV/cell
- Space group: P4/mmm, No. 123
- Formation energy (no corrections): -199 meV/atom
- Distance to the lowest polymorph of the same formula: 0.0000 eV per atom

Lattice parameters (Å, degrees): 4.749 4.749 5.036 90.00 90.00 90.00
Sites, in units of the cell vectors:
P  0.000  0.000  0.500
Sn  0.500  0.500  0.500
S  0.000  0.500  0.000
S  0.500  0.000  0.000
Ta  0.000  0.000  0.000


No. 14
A plane-wave DFT calculation with PBE was carried out for a relaxed LaY2MgC crystal.

Computed properties:
- DOS(E_F): 5.5 states/eV/cell
- Space group: P4/mmm, No. 123
- ΔE_f: -149 meV/atom

Lattice parameters (Å, degrees): 4.981 4.981 5.330 90.00 90.00 90.00
Sites, in units of the cell vectors:
Y  0.500  0.000  0.000
Y  0.000  0.500  0.000
C  0.000  0.000  0.000
Mg  0.500  0.500  0.500
La  0.000  0.000  0.500


No. 15
A plane-wave DFT calculation with PBE was carried out for a relaxed TcHgGeOsW crystal.

Computed properties:
- DOS(E_F): 4.6 states/eV/cell
- Space group: Cm, No. 8
- Distance to the lowest polymorph of the same formula: 0.2679 eV per atom
- ΔE_f: 471 meV/atom

Lattice parameters (Å, degrees): 6.137 4.146 8.824 90.00 133.37 90.00
Sites, in units of the cell vectors:
Tc  0.879  0.000  0.128
Tc  0.879  0.500  0.628
Os  0.031  0.000  0.913
Os  0.031  0.500  0.413
W  0.380  0.000  0.519
W  0.380  0.500  0.019
Ge  0.248  0.500  0.245
Ge  0.248  0.000  0.745
Hg  0.641  0.000  0.326
Hg  0.641  0.500  0.826


No. 16
A plane-wave DFT calculation with PBE was carried out for a relaxed In4BiW2 crystal.

Computed properties:
- DOS(E_F): 7.3 states/eV/cell
- Space group: I4/mmm, No. 139
- ΔE_f: 1272 meV/atom

Lattice parameters (Å, degrees): 5.698 5.698 8.165 69.58 69.58 90.00
Sites, in units of the cell vectors:
W  0.579  0.579  0.843
W  0.421  0.421  0.157
Bi  0.000  0.000  0.000
In  0.000  0.500  0.000
In  0.216  0.216  0.569
In  0.500  0.000  0.000
In  0.784  0.784  0.431


No. 17
A plane-wave DFT calculation with PBE was carried out for a relaxed Y6Cu2Pd crystal.

Computed properties:
- DOS(E_F): 18.1 states/eV/cell
- Space group: Immm, No. 71
- ΔE_f: -290 meV/atom

Lattice parameters (Å, degrees): 8.386 8.386 8.386 108.87 110.30 109.25
Sites, in units of the cell vectors:
Y  0.186  0.747  0.933
Y  0.186  0.253  0.439
Y  0.557  0.735  0.823
Y  0.700  0.374  0.675
Y  0.088  0.265  0.823
Y  0.912  0.735  0.177
Y  0.814  0.253  0.067
Y  0.300  0.626  0.325
Y  0.443  0.265  0.177
Y  0.300  0.975  0.675
Y  0.700  0.025  0.325
Y  0.814  0.747  0.561
Cu  0.500  0.380  0.880
Cu  0.352  0.000  0.352
Cu  0.500  0.620  0.120
Cu  0.648  0.000  0.648
Pd  0.000  0.500  0.500
Pd  0.000  0.000  0.000


No. 18
A plane-wave DFT calculation with PBE was carried out for a relaxed CsHfOF2 crystal.

Computed properties:
- DOS(E_F): 6.7 states/eV/cell
- Space group: P4/mmm, No. 123
- Formation energy (no corrections): -96 meV/atom
- Distance to the lowest polymorph of the same formula: 2.6236 eV per atom

Lattice parameters (Å, degrees): 5.104 5.104 4.553 90.00 90.00 90.00
Each line ends with the local moment (μB).
Sites, in units of the cell vectors:
F  0.000  0.500  0.000  0.02
F  0.500  0.000  0.000  0.02
Hf  0.500  0.500  0.500  1.19
Cs  0.000  0.000  0.000  0.00
O  0.000  0.000  0.500  -0.06


No. 19
A plane-wave DFT calculation with PBE was carried out for a relaxed Ca3InBi3 crystal.

Computed properties:
- DOS(E_F): 1.7 states/eV/cell
- Space group: Pnma, No. 62
- Distance to the lowest polymorph of the same formula: 0.0000 eV per atom
- ΔE_f: -666 meV/atom

Lattice parameters (Å, degrees): 4.706 13.449 14.689 90.00 90.00 90.00
Sites, in units of the cell vectors:
Ca  0.750  0.227  0.721
Ca  0.250  0.549  0.119
Ca  0.750  0.451  0.881
Ca  0.250  0.849  0.003
Ca  0.250  0.349  0.497
Ca  0.250  0.273  0.221
Ca  0.750  0.651  0.503
Ca  0.250  0.049  0.381
Ca  0.750  0.951  0.619
Ca  0.750  0.727  0.779
Ca  0.750  0.151  0.997
Ca  0.250  0.773  0.279
Bi  0.250  0.551  0.360
Bi  0.750  0.949  0.860
Bi  0.750  0.449  0.640
Bi  0.250  0.621  0.900
Bi  0.250  0.770  0.613
Bi  0.250  0.121  0.600
Bi  0.750  0.730  0.113
Bi  0.250  0.051  0.140
Bi  0.250  0.270  0.887
Bi  0.750  0.879  0.400
Bi  0.750  0.379  0.100
Bi  0.750  0.230  0.387
In  0.750  0.932  0.201
In  0.250  0.568  0.701
In  0.250  0.068  0.799
In  0.750  0.432  0.299


No. 20
A plane-wave DFT calculation with PBE was carried out for a relaxed CdGeTeI2 crystal.

Computed properties:
- DOS(E_F): 3.5 states/eV/cell
- Space group: P4/mmm, No. 123
- Formation energy (no corrections): 378 meV/atom
- Distance to the lowest polymorph of the same formula: 0.2277 eV per atom

Lattice parameters (Å, degrees): 5.702 5.702 5.832 90.00 90.00 90.00
Each line ends with the local moment (μB).
Sites, in units of the cell vectors:
Cd  0.000  0.000  0.000  0.00
I  0.000  0.500  0.000  -0.01
I  0.500  0.000  0.000  -0.01
Ge  0.500  0.500  0.500  0.13
Te  0.000  0.000  0.500  -0.08


No. 21
A plane-wave DFT calculation with PBE was carried out for a relaxed ReMo2Ru crystal.

Computed properties:
- DOS(E_F): 5.3 states/eV/cell
- Space group: R-3m, No. 166
- Distance to the lowest polymorph of the same formula: 0.0699 eV per atom
- ΔE_f: 181 meV/atom

Lattice parameters (Å, degrees): 9.300 9.300 9.300 17.11 17.11 17.11
Sites, in units of the cell vectors:
Re  0.250  0.250  0.250
Ru  0.750  0.750  0.750
Mo  0.499  0.499  0.499
Mo  0.001  0.001  0.001


No. 22
A plane-wave DFT calculation with PBE was carried out for a relaxed CaSbS2 crystal.

Computed properties:
- DOS(E_F): 2.9 states/eV/cell
- Space group: I-42d, No. 122
- Formation energy (no corrections): -759 meV/atom

Lattice parameters (Å, degrees): 5.709 5.709 8.499 70.38 70.38 90.00
Sites, in units of the cell vectors:
Ca  0.500  0.500  0.000
Ca  0.250  0.750  0.500
S  0.115  0.625  0.250
S  0.375  0.365  0.750
S  0.635  0.125  0.250
S  0.875  0.885  0.750
Sb  0.750  0.250  0.500
Sb  0.000  0.000  0.000